No. 1
# K4SI

An optimized crystal structure of K4SI (PBE, Alexandria).

The structure belongs to space group P4/mmm (No. 123); the cell edges are 5.579, 5.579 and 8.502 Å and the angles 90.00°, 90.00° and 90.00°. The distinct sites, in fractional coordinates, are K at (0.000, 0.500, 0.204), S at (0.000, 0.000, 0.000) and I at (0.500, 0.500, 0.500).

The calculation puts the formation energy without anion corrections at -0.90 eV/atom. The calculation puts the final energy at -2.581 eV per atom. The value obtained for the density of states at the Fermi level is 2.084 states/eV/cell. The calculation puts the magnetization at 0.53 Bohr magnetons per cell.

No. 2
# K6S2I

An optimized crystal structure of K6S2I (PBE, Alexandria).

The structure belongs to space group C2/m (No. 12); the cell edges are 8.208, 10.319 and 8.697 Å and the angles 90.00°, 99.75° and 90.00°. The distinct sites, in fractional coordinates, are K at (0.204, 0.206, 0.230), K at (0.237, 0.500, 0.429), S at (0.000, 0.248, 0.500) and I at (0.000, 0.500, 0.000).

The calculation puts the formation energy without anion corrections at -0.90 eV/atom. The calculation puts the final energy at -2.726 eV per atom. The value obtained for the density of states at the Fermi level is 5.030 states/eV/cell. The calculation puts the magnetization at 1.12 Bohr magnetons per cell.

No. 3
# K4SI2

An optimized crystal structure of K4SI2 (PBE, Alexandria).

The structure belongs to space group I4/mmm (No. 139); the cell edges are 5.964, 5.964 and 18.195 Å and the angles 90.00°, 90.00° and 90.00°. The distinct sites, in fractional coordinates, are K at (0.000, 0.000, 0.165), K at (0.000, 0.500, 0.000), S at (0.000, 0.000, 0.000) and I at (0.000, 0.000, 0.357).

The calculation puts the formation energy without anion corrections at -1.25 eV/atom. The calculation puts the final energy at -2.908 eV per atom. The value obtained for the density of states at the Fermi level is 0.000 states/eV/cell. The calculation puts the magnetization at 0.00 Bohr magnetons per cell.